Record 1
KLiSm2Te4 after structural relaxation. Source: Alexandria, functional PBE.

As for the total DFT energy (no corrections): -4.4684 eV per atom. The energy relative to the elements, uncorrected comes out at -1.34 eV per atom. The magnetic moment comes out at 0.0 μB/f.u.

abc: 7.894 7.894 15.887
angles: 90.00 90.00 146.59
Sites, in units of the cell vectors:
K 0.113 0.887 0.750
K 0.887 0.113 0.250
Li 0.161 0.839 0.250
Li 0.839 0.161 0.750
Sm 0.366 0.634 0.564
Sm 0.366 0.634 0.936
Sm 0.634 0.366 0.064
Sm 0.634 0.366 0.436
Te 0.000 0.000 0.000
Te 0.000 0.000 0.500
Te 0.268 0.732 0.111
Te 0.268 0.732 0.389
Te 0.437 0.563 0.750
Te 0.563 0.437 0.250
Te 0.732 0.268 0.611
Te 0.732 0.268 0.889

Record 2
NaSrBi2 after structural relaxation. Source: Alexandria, functional PBE.

As for the total DFT energy (no corrections): -3.1821 eV per atom. The energy of formation is -1.97 eV per formula unit. The magnetic moment comes out at 0.0 μB/f.u.

abc: 4.263 4.263 7.208
angles: 90.00 90.00 90.00
Sites, in units of the cell vectors:
Na 0.000 0.000 0.000
Sr 0.000 0.000 0.500
Bi 0.500 0.500 0.236
Bi 0.500 0.500 0.764

Record 3
Ni2OsCl after structural relaxation. Source: Alexandria, functional PBE.

As for the total DFT energy (no corrections): -5.2606 eV per atom. The energy relative to the elements, uncorrected comes out at 0.90 eV per atom. The magnetic moment comes out at 1.9 μB/f.u.

abc: 2.747 4.387 4.402
angles: 90.00 90.00 90.00
Sites, in units of the cell vectors:
Ni 0.000 0.000 0.000
Ni 0.500 0.500 0.000
Os 0.000 0.500 0.500
Cl 0.500 0.000 0.500

Record 4
Ho4Er7Th after structural relaxation. Source: Alexandria, functional PBE.

As for the total DFT energy (no corrections): -4.4856 eV per atom. The energy of formation is 3.84 eV per formula unit. The magnetic moment comes out at 0.0 μB/f.u.

abc: 6.688 6.688 12.549
angles: 115.47 115.47 51.99
Sites, in units of the cell vectors:
Ho 0.066 0.066 0.318
Ho 0.361 0.361 0.225
Ho 0.639 0.639 0.775
Ho 0.934 0.934 0.682
Er 0.000 0.000 0.000
Er 0.209 0.209 0.923
Er 0.235 0.235 0.675
Er 0.368 0.368 0.502
Er 0.632 0.632 0.498
Er 0.765 0.765 0.325
Er 0.791 0.791 0.077
Th 0.500 0.500 0.000

Record 5
Mg2AlSe2 after structural relaxation. Source: Alexandria, functional PBE.

As for the total DFT energy (no corrections): -3.2150 eV per atom. The energy relative to the elements, uncorrected comes out at -0.43 eV per atom. The magnetic moment comes out at 0.0 μB/f.u.

abc: 7.129 7.129 7.129
angles: 143.34 143.34 52.81
Sites, in units of the cell vectors:
Mg 0.250 0.750 0.500
Mg 0.750 0.250 0.500
Al 0.000 0.000 0.000
Se 0.361 0.361 0.000
Se 0.639 0.639 0.000

Record 6
ScPaReOs after structural relaxation. Source: Alexandria, functional PBE.

As for the total DFT energy (no corrections): -10.1178 eV per atom. The energy of formation is -0.97 eV per formula unit. The magnetic moment comes out at 0.0 μB/f.u.

abc: 4.749 4.749 4.749
angles: 60.00 60.00 60.00
Sites, in units of the cell vectors:
Sc 0.000 0.000 0.000
Pa 0.500 0.500 0.500
Re 0.750 0.750 0.750
Os 0.250 0.250 0.250